[1]
A plane-wave DFT calculation with GGA-PBE was carried out for a relaxed SrPbS2O8 crystal.

Cell lengths 7.9862, 7.9862, 7.9862 Å; angles 37.80, 37.80, 37.80 degrees
Last column: nearest neighbours and their distance in Å.
Fractional positions:
Sr1 0.0000 0.0000 0.0000  6 O 2.59
Pb1 0.5000 0.5000 0.5000  12 O 2.79-2.99
S1 0.2425 0.2425 0.2425  4 O 1.49-1.50
S2 0.7575 0.7575 0.7575  4 O 1.49-1.50
O1 0.0295 0.4905 0.6856  1 S 1.50
O2 0.1754 0.1754 0.1754  1 S 1.49
O3 0.3144 0.9705 0.5095  1 S 1.50
O4 0.4905 0.6856 0.0295  1 S 1.50
O5 0.5095 0.3144 0.9705  1 S 1.50
O6 0.6856 0.0295 0.4905  1 S 1.50
O7 0.8246 0.8246 0.8246  1 S 1.49
O8 0.9705 0.5095 0.3144  1 S 1.50

Properties
The value obtained for the total magnetization is 0.00 μB per formula unit. For the formation energy from raw total energies, the calculation gives -1.806 eV per atom.

---

[2]
A plane-wave DFT calculation with GGA-PBE was carried out for a relaxed KYAsBr2 crystal.

Cell lengths 5.6829, 5.6829, 5.6037 Å; angles 90.00, 90.00, 90.00 degrees
Last column: nearest neighbours and their distance in Å.
Fractional positions:
K1 0.0000 0.0000 0.0000  8 Br 3.99, 4 As 4.02
Y1 0.5000 0.5000 0.5000  2 As 2.80, 4 Br 2.84
As1 0.5000 0.5000 0.0000  2 Y 2.80
Br1 0.0000 0.5000 0.5000  2 Y 2.84
Br2 0.5000 0.0000 0.5000  2 Y 2.84

Properties
The value obtained for the total magnetization is 1.00 μB per formula unit. For the energy above the most stable polymorph in this dataset, the calculation gives 0.00 kJ/mol of atoms. For the formation energy from raw total energies, the calculation gives -1.157 eV per atom.

---

[3]
A plane-wave DFT calculation with GGA-PBE was carried out for a relaxed FeIr6W crystal.

Cell lengths 5.4767, 5.4767, 3.8613 Å; angles 90.00, 90.00, 90.00 degrees
Last column: nearest neighbours and their distance in Å.
Fractional positions:
Fe1 0.0000 0.0000 0.0000  12 Ir 2.73-2.74
Ir1 0.0000 0.5000 0.0000  8 Ir 2.73, 2 W 2.74, 2 Fe 2.74
Ir2 0.2497 0.2497 0.5000  2 Fe 2.73, 8 Ir 2.73-2.74, 2 W 2.74
Ir3 0.2497 0.7503 0.5000  2 Fe 2.73, 8 Ir 2.73-2.74, 2 W 2.74
Ir4 0.5000 0.0000 0.0000  8 Ir 2.73, 2 W 2.74, 2 Fe 2.74
Ir5 0.7503 0.2497 0.5000  2 Fe 2.73, 8 Ir 2.73-2.74, 2 W 2.74
Ir6 0.7503 0.7503 0.5000  2 Fe 2.73, 8 Ir 2.73-2.74, 2 W 2.74
W1 0.5000 0.5000 0.0000  12 Ir 2.74

Properties
The value obtained for the total magnetization is 3.97 μB per formula unit. The energy of formation is -0.21 eV/atom.

---

[4]
A plane-wave DFT calculation with GGA-PBE was carried out for a relaxed CrRuC3 crystal.

Cell lengths 3.9154, 3.9154, 3.9154 Å; angles 90.00, 90.00, 90.00 degrees
Last column: nearest neighbours and their distance in Å.
Fractional positions:
Cr1 0.0000 0.0000 0.0000  12 C 2.77
Ru1 0.5000 0.5000 0.5000  6 C 1.96
C1 0.0000 0.5000 0.5000  2 Ru 1.96
C2 0.5000 0.0000 0.5000  2 Ru 1.96
C3 0.5000 0.5000 0.0000  2 Ru 1.96

Properties
The value obtained for the total magnetization is 0.14 μB per formula unit. For the energy above the most stable polymorph in this dataset, the calculation gives 35.64 kJ/mol of atoms. The energy of formation is 2.43 eV/atom.

---

[5]
A plane-wave DFT calculation with GGA-PBE was carried out for a relaxed Zr2AlHgMo crystal.

Cell lengths 5.2021, 5.2021, 5.0523 Å; angles 90.00, 90.00, 90.00 degrees
Last column: nearest neighbours and their distance in Å.
Fractional positions:
Zr1 0.0000 0.5000 0.0000  2 Hg 2.60
Zr2 0.5000 0.0000 0.0000  2 Hg 2.60
Al1 0.0000 0.0000 0.5000  8 Zr 3.63, 4 Mo 3.68
Hg1 0.5000 0.5000 0.0000  2 Mo 2.53, 4 Zr 2.60
Mo1 0.5000 0.5000 0.5000  2 Hg 2.53

Properties
The value obtained for the total magnetization is 2.13 μB per formula unit. The energy of formation is 1.40 eV/atom.

---

[6]
A plane-wave DFT calculation with GGA-PBE was carried out for a relaxed PrDy8Tm6 crystal.

Cell lengths 9.3666, 9.3666, 6.4573 Å; angles 90.00, 90.00, 120.00 degrees
Last column: nearest neighbours and their distance in Å.
Fractional positions:
Pr1 0.0000 0.0000 0.0000  6 Tm 3.58
Dy1 0.0256 0.6868 0.5955  4 Tm 3.20-3.55, 5 Dy 3.30-3.51
Dy2 0.3132 0.3388 0.5955  4 Tm 3.20-3.55, 5 Dy 3.30-3.51
Dy3 0.3333 0.6667 0.3275  6 Dy 3.37-3.45, 3 Tm 3.55
Dy4 0.3388 0.0256 0.4045  4 Tm 3.20-3.55, 5 Dy 3.30-3.51
Dy5 0.6612 0.9744 0.5955  4 Tm 3.20-3.55, 5 Dy 3.30-3.51
Dy6 0.6667 0.3333 0.6725  6 Dy 3.37-3.45, 3 Tm 3.55
Dy7 0.6868 0.6612 0.4045  4 Tm 3.20-3.55, 5 Dy 3.30-3.51
Dy8 0.9744 0.3132 0.4045  4 Tm 3.20-3.55, 5 Dy 3.30-3.51
Tm1 0.0957 0.4159 0.9083  1 Tm 3.15, 3 Dy 3.20-3.42
Tm2 0.3202 0.9043 0.9083  1 Tm 3.15, 3 Dy 3.20-3.42
Tm3 0.4159 0.3202 0.0917  1 Tm 3.15, 3 Dy 3.20-3.42
Tm4 0.5841 0.6798 0.9083  1 Tm 3.15, 3 Dy 3.20-3.42
Tm5 0.6798 0.0957 0.0917  1 Tm 3.15, 3 Dy 3.20-3.42
Tm6 0.9043 0.5841 0.0917  1 Tm 3.15, 3 Dy 3.20-3.42

Properties
The value obtained for the total magnetization is 0.00 μB per formula unit. For the energy above the most stable polymorph in this dataset, the calculation gives 8.52 kJ/mol of atoms. The energy of formation is 0.23 eV/atom.

---

[7]
A plane-wave DFT calculation with GGA-PBE was carried out for a relaxed La4MgTe crystal.

Cell lengths 6.5449, 6.5449, 6.5449 Å; angles 60.00, 60.00, 60.00 degrees
Last column: nearest neighbours and their distance in Å.
Fractional positions:
La1 0.1241 0.1241 0.1241  6 La 3.25-3.30
La2 0.1241 0.1241 0.6276  6 La 3.25-3.30
La3 0.1241 0.6276 0.1241  6 La 3.25-3.30
La4 0.6276 0.1241 0.1241  6 La 3.25-3.30
Mg1 0.7500 0.7500 0.7500  12 La 3.83, 4 Te 4.01
Te1 0.5000 0.5000 0.5000  12 La 3.84, 4 Mg 4.01

Properties
The value obtained for the total magnetization is 0.01 μB per formula unit. For the formation energy from raw total energies, the calculation gives 0.009 eV per atom.

---

[8]
A plane-wave DFT calculation with GGA-PBE was carried out for a relaxed Pu2Zn15Ge2 crystal.

Cell lengths 6.8475, 6.8475, 6.8475 Å; angles 84.66, 84.66, 84.66 degrees
Last column: nearest neighbours and their distance in Å.
Fractional positions:
Pu1 0.1715 0.1715 0.1715  1 Ge 2.96, 9 Zn 3.16-3.29
Pu2 0.8285 0.8285 0.8285  1 Ge 2.96, 9 Zn 3.16-3.29
Zn1 0.0000 0.5000 0.5000  8 Zn 2.60-2.73, 2 Ge 2.80
Zn2 0.1499 0.1499 0.6731  8 Zn 2.55-2.73
Zn3 0.1499 0.6731 0.1499  8 Zn 2.55-2.73
Zn4 0.1846 0.5000 0.8154  8 Zn 2.60-2.91
Zn5 0.1846 0.8154 0.5000  8 Zn 2.60-2.91
Zn6 0.3269 0.8501 0.8501  8 Zn 2.55-2.73
Zn7 0.5000 0.0000 0.5000  8 Zn 2.60-2.73, 2 Ge 2.80
Zn8 0.5000 0.1846 0.8154  8 Zn 2.60-2.91
Zn9 0.5000 0.5000 0.0000  8 Zn 2.60-2.73, 2 Ge 2.80
Zn10 0.5000 0.8154 0.1846  8 Zn 2.60-2.91
Zn11 0.6731 0.1499 0.1499  8 Zn 2.55-2.73
Zn12 0.8154 0.1846 0.5000  8 Zn 2.60-2.91
Zn13 0.8154 0.5000 0.1846  8 Zn 2.60-2.91
Zn14 0.8501 0.3269 0.8501  8 Zn 2.55-2.73
Zn15 0.8501 0.8501 0.3269  8 Zn 2.55-2.73
Ge1 0.4003 0.4003 0.4003  1 Ge 2.58, 3 Zn 2.80
Ge2 0.5997 0.5997 0.5997  1 Ge 2.58, 3 Zn 2.80

Properties
The value obtained for the total magnetization is 11.02 μB per formula unit. The energy of formation is -0.12 eV/atom.

---

[9]
A plane-wave DFT calculation with GGA-PBE was carried out for a relaxed CaHfTaRe2 crystal.

Cell lengths 4.8273, 4.8273, 4.9300 Å; angles 90.00, 90.00, 90.00 degrees
Last column: nearest neighbours and their distance in Å.
Fractional positions:
Ca1 0.0000 0.0000 0.0000  2 Ta 2.46
Hf1 0.5000 0.5000 0.0000  4 Ca 3.41, 8 Re 3.45
Ta1 0.0000 0.0000 0.5000  4 Re 2.41, 2 Ca 2.46
Re1 0.0000 0.5000 0.5000  2 Ta 2.41
Re2 0.5000 0.0000 0.5000  2 Ta 2.41

Properties
The value obtained for the total magnetization is 0.00 μB per formula unit. The energy of formation is 1.68 eV/atom.

---

[10]
A plane-wave DFT calculation with GGA-PBE was carried out for a relaxed La2BeBr crystal.

Cell lengths 8.2200, 8.2200, 8.2200 Å; angles 132.38, 132.38, 69.62 degrees
Last column: nearest neighbours and their distance in Å.
Fractional positions:
La1 0.0860 0.6250 0.9610  2 Be 2.75, 2 Br 3.05
La2 0.3750 0.3360 0.4610  2 Be 2.75, 2 Br 3.05
La3 0.6640 0.1250 0.0390  2 Be 2.75, 2 Br 3.05
La4 0.8750 0.9140 0.5390  2 Be 2.75, 2 Br 3.05
Be1 0.0000 0.0000 0.0000  4 La 2.75
Be2 0.7500 0.2500 0.5000  4 La 2.75
Br1 0.2500 0.7500 0.5000  4 La 3.05
Br2 0.5000 0.5000 0.0000  4 La 3.05

Properties
The value obtained for the total magnetization is 0.00 μB per formula unit. For the energy above the most stable polymorph in this dataset, the calculation gives 44.36 kJ/mol of atoms. For the formation energy from raw total energies, the calculation gives -0.071 eV per atom.

---

[11]
A plane-wave DFT calculation with GGA-PBE was carried out for a relaxed TmGa4Ni8 crystal.

Cell lengths 6.3401, 6.3401, 6.3401 Å; angles 99.04, 99.04, 133.30 degrees
Last column: nearest neighbours and their distance in Å.
Fractional positions:
Tm1 0.0000 0.0000 0.0000  12 Ni 2.89-3.11, 8 Ga 3.17
Ga1 0.0000 0.0000 0.5000  8 Ni 2.42-2.55, 2 Ga 2.51
Ga2 0.0000 0.5000 0.0000  8 Ni 2.42-2.55, 2 Ga 2.51
Ga3 0.5000 0.0000 0.0000  8 Ni 2.42-2.55, 2 Ga 2.51
Ga4 0.5000 0.5000 0.5000  8 Ni 2.42-2.55, 2 Ga 2.51
Ni1 0.0000 0.3512 0.3512  5 Ni 2.45-2.73, 4 Ga 2.55
Ni2 0.0000 0.6488 0.6488  5 Ni 2.45-2.73, 4 Ga 2.55
Ni3 0.2775 0.5000 0.7775  4 Ga 2.42, 4 Ni 2.59
Ni4 0.3512 0.0000 0.3512  5 Ni 2.45-2.73, 4 Ga 2.55
Ni5 0.5000 0.2775 0.7775  4 Ga 2.42, 4 Ni 2.59
Ni6 0.5000 0.7225 0.2225  4 Ga 2.42, 4 Ni 2.59
Ni7 0.6488 0.0000 0.6488  5 Ni 2.45-2.73, 4 Ga 2.55
Ni8 0.7225 0.5000 0.2225  4 Ga 2.42, 4 Ni 2.59

Properties
The value obtained for the total magnetization is 0.00 μB per formula unit. The energy of formation is -0.35 eV/atom.